Entry 1:
BaSr3Zr: optimized geometry, PBE-GGA.

Calculated values
The energy relative to the elements comes out at 1.290 eV/atom. The calculation puts the energy above the most stable polymorph in this dataset at 0.711 eV/atom. The volume comes out at 233.2 Å³ per cell.

CIF file:
```
data_BaSr3Zr
_space_group_name_H-M_alt 'P m -3 m'
_space_group_IT_number 221
_space_group_name_Hall '-P 4 2 3'
_cell_length_a 6.155
_cell_length_b 6.155
_cell_length_c 6.155
_cell_angle_alpha 90.00
_cell_angle_beta 90.00
_cell_angle_gamma 90.00
loop_
_atom_site_label
_atom_site_fract_x
_atom_site_fract_y
_atom_site_fract_z
Ba1 0.000 0.000 0.000
Sr1 0.000 0.000 0.500
Zr1 0.500 0.500 0.500
```

=====

Entry 2:
BaSrZr2: optimized geometry, PBE-GGA.

Calculated values
The energy relative to the elements comes out at 0.695 eV/atom. The calculation puts the energy above the most stable polymorph in this dataset at 0.355 eV/atom. The volume comes out at 383.6 Å³ per cell.

CIF file:
```
data_BaSrZr2
_space_group_name_H-M_alt 'R -3 m'
_space_group_IT_number 166
_space_group_name_Hall '-R 3 2"'
_cell_length_a 3.4840
_cell_length_b 3.4840
_cell_length_c 36.4932
_cell_angle_alpha 90.00
_cell_angle_beta 90.00
_cell_angle_gamma 120.00
loop_
_atom_site_label
_atom_site_fract_x
_atom_site_fract_y
_atom_site_fract_z
Ba1 0.0000 0.0000 0.0000
Sr1 0.0000 0.0000 0.5000
Zr1 0.0000 0.0000 0.2502
```

=====

Entry 3:
Ba2SrZr: optimized geometry, PBE-GGA.

Calculated values
The energy relative to the elements comes out at 0.523 eV/atom. The calculation puts the energy above the most stable polymorph in this dataset at 0.086 eV/atom. The volume comes out at 344.6 Å³ per cell.

CIF file:
```
data_Ba2SrZr
_space_group_name_H-M_alt 'C 1 2/m 1'
_space_group_IT_number 12
_space_group_name_Hall '-C 2y'
_cell_length_a 13.071
_cell_length_b 3.925
_cell_length_c 6.890
_cell_angle_alpha 90.00
_cell_angle_beta 102.90
_cell_angle_gamma 90.00
loop_
_atom_site_label
_atom_site_fract_x
_atom_site_fract_y
_atom_site_fract_z
Ba1 0.227 0.000 0.223
Sr1 0.000 0.000 0.500
Zr1 0.000 0.500 0.000
```

=====

Look up the energy relative to the elements of the first one.
1.290 eV/atom